{
  "formula": "La2Co2Br",
  "functional": "PBE",
  "state": "optimized geometry",
  "cell": [[-0.678, 3.832, 0.947], [-1.807, -1.626, -3.183], [-6.637, -2.409, 4.997]],
  "species": ["Br", "Co", "Co", "La", "La"],
  "frac_coords": [[0.667, 0.333, 0.000], [0.667, 0.333, 0.500], [0.333, 0.667, 0.500], [0.000, 0.000, 0.281], [0.000, 0.000, 0.719]],
  "dft_energy_ry_per_atom": -0.432,
  "volume_a3_per_fu": 120
}